# 1
! La2TiBeFe | Alexandria | PBE-GGA | relaxed; values from VASP
! Symmetry: P4/mmm
! M_tot, μB per cell: 2.55
! Final energy, eV for the cell shown: -27.48
! Formation energy from the elements, eV per atom: 0.491
&SYSTEM
  ibrav = 0, nat = 5, ntyp = 4
/
ATOMIC_SPECIES
Be 9.01 Be.upf
La 138.91 La.upf
Fe 55.84 Fe.upf
Ti 47.87 Ti.upf
ATOMIC_POSITIONS crystal
Be 0.0000 0.5000 0.0000
La 0.0000 0.0000 0.5000
La 0.5000 0.0000 0.0000
Fe 0.0000 0.0000 0.0000
Ti 0.5000 0.5000 0.5000
CELL_PARAMETERS angstrom
5.1925 0.0000 0.0000
0.0000 4.3447 0.0000
0.0000 0.0000 5.1925

# 2
! LaBeZn2Fe | Alexandria | PBE-GGA | relaxed; values from VASP
! Symmetry: P4/mmm
! M_tot, μB per cell: 1.35
! Final energy, eV for the cell shown: -11.56
! Formation energy from the elements, eV per atom: 1.621
&SYSTEM
  ibrav = 0, nat = 5, ntyp = 4
/
ATOMIC_SPECIES
La 138.91 La.upf
Be 9.01 Be.upf
Zn 65.41 Zn.upf
Fe 55.84 Fe.upf
ATOMIC_POSITIONS crystal
La 0.0000 0.0000 0.0000
Be 0.5000 0.5000 0.5000
Zn 0.5000 0.0000 0.0000
Zn 0.0000 0.0000 0.5000
Fe 0.0000 0.5000 0.0000
CELL_PARAMETERS angstrom
-1.3799 -3.2108 4.4927
0.6215 -3.8285 -2.5453
5.4692 -0.1552 1.5689

# 3
! La2ZrBeFe | Alexandria | PBE-GGA | relaxed; values from VASP
! Symmetry: P4/mmm
! M_tot, μB per cell: 1.67
! Final energy, eV for the cell shown: -28.10
! Formation energy from the elements, eV per atom: 0.498
&SYSTEM
  ibrav = 0, nat = 5, ntyp = 4
/
ATOMIC_SPECIES
Be 9.01 Be.upf
Fe 55.84 Fe.upf
Zr 91.22 Zr.upf
La 138.91 La.upf
ATOMIC_POSITIONS crystal
Be 0.0000 0.5000 0.0000
Fe 0.0000 0.0000 0.0000
Zr 0.5000 0.5000 0.5000
La 0.5000 0.0000 0.0000
La 0.0000 0.0000 0.5000
CELL_PARAMETERS angstrom
-5.0816 1.0789 0.0600
-0.2796 -1.5452 4.1064
1.0288 4.7426 1.8547

# 4
! Li2BeFe2 | Alexandria | PBE-GGA | relaxed; values from VASP
! ΔE to the lowest computed polymorph, meV/atom: 177.4
! Symmetry: I4/mmm
! M_tot, μB per cell: 4.69
! Final energy, eV for the cell shown: -21.54
! Formation energy from the elements, eV per atom: 0.588
&SYSTEM
  ibrav = 0, nat = 5, ntyp = 3
/
ATOMIC_SPECIES
Li 6.94 Li.upf
Fe 55.84 Fe.upf
Be 9.01 Be.upf
ATOMIC_POSITIONS crystal
Li 0.2500 0.7500 0.5000
Li 0.7500 0.2500 0.5000
Fe 0.4147 0.4147 0.1706
Fe 0.5853 0.5853 0.8294
Be 0.0000 0.0000 0.0000
CELL_PARAMETERS angstrom
2.9705 0.0000 0.0000
0.0000 2.9705 0.0000
1.4853 1.4853 6.7651

# 5
! Li2BeFe | Alexandria | PBE-GGA | relaxed; values from VASP
! Symmetry: P4/mmm
! M_tot, μB per cell: 2.07
! Final energy, eV for the cell shown: -14.70
! Formation energy from the elements, eV per atom: 0.330
&SYSTEM
  ibrav = 0, nat = 4, ntyp = 3
/
ATOMIC_SPECIES
Fe 55.84 Fe.upf
Li 6.94 Li.upf
Be 9.01 Be.upf
ATOMIC_POSITIONS crystal
Fe 0.5000 0.5000 0.7500
Li 0.0000 0.0000 0.4923
Li 0.0000 0.0000 0.0077
Be 0.5000 0.5000 0.2500
CELL_PARAMETERS angstrom
-1.9413 -1.3549 0.2131
1.0157 -1.6683 -1.3545
3.2650 -3.5962 6.8777

# 6
! Li2BeFe | Alexandria | PBE-GGA | relaxed; values from VASP
! Symmetry: I-42d
! M_tot, μB per cell: 4.57
! Final energy, eV for the cell shown: -27.44
! Formation energy from the elements, eV per atom: 0.574
&SYSTEM
  ibrav = 0, nat = 8, ntyp = 3
/
ATOMIC_SPECIES
Li 6.94 Li.upf
Fe 55.84 Fe.upf
Be 9.01 Be.upf
ATOMIC_POSITIONS crystal
Li 0.1437 0.6250 0.2500
Li 0.6063 0.1250 0.2500
Li 0.8750 0.8563 0.7500
Li 0.3750 0.3937 0.7500
Fe 0.0000 0.0000 0.0000
Fe 0.7500 0.2500 0.5000
Be 0.2500 0.7500 0.5000
Be 0.5000 0.5000 0.0000
CELL_PARAMETERS angstrom
6.5840 0.0000 0.0000
0.0000 6.5840 0.0000
3.2920 3.2920 2.3009

> final energy of number 5 (Li2BeFe)?

-14.70 eV for the cell shown